RuRh2Au | meta-GGA SCAN | single point on PBEsol structure

Results
Total magnetic moment: 0.01 Bohr magnetons per cell
Calculated formation energy: 110 kJ/mol of formula units

Unit cell a=3.8538 b=3.8538 c=3.8309 alpha=90.00 beta=90.00 gamma=90.00
Fractional positions:
Ru (0.0000, 0.0000, 0.0000)
Rh (0.0000, 0.5000, 0.5000)
Rh (0.5000, 0.0000, 0.5000)
Au (0.5000, 0.5000, 0.0000)